Entry 1:
First-principles (PBE-GGA) data for a relaxed NiMoBr2 crystal, as listed in the Alexandria database.

Geometry as POSCAR:
```
NiMoBr2
1.0
1.5546 -2.9878 0.0000
1.5546 2.9878 0.0000
0.0000 0.0000 8.2326
Ni Mo Br
1 1 2
Cartesian
0.0000 0.0000 0.0000
0.0000 0.0000 4.1163
1.5546 0.0000 1.9723
1.5546 0.0000 6.2604
```

## Properties
relative energy among the computed polymorphs: 676.4 meV/atom
formation energy from raw total energies: 0.7186 eV/atom

***

Entry 2:
First-principles (PBE-GGA) data for a relaxed Ce3CdPb4 crystal, as listed in the Alexandria database.

Geometry as POSCAR:
```
Ce3CdPb4
1.0
10.3020 0.0000 0.0000
0.0000 6.6764 0.0000
0.0000 0.0000 6.7258
Ce Cd Pb
6 2 8
Cartesian
0.0000 0.1409 0.0000
2.5506 4.9679 5.0779
2.6004 1.7086 1.7150
5.1510 6.5355 3.3629
7.7016 1.7086 1.7150
7.7514 4.9679 5.0779
0.0000 3.2922 3.4213
5.1510 3.3842 0.0584
0.0000 3.4243 0.0563
0.0000 6.6725 3.3674
2.5044 5.0610 1.7083
2.6466 1.6154 5.0711
5.1510 0.0039 0.0045
5.1510 3.2521 3.4192
7.6554 1.6154 5.0711
7.7976 5.0610 1.7083
```

## Properties
formation enthalpy at 0 K: -2.523 eV/f.u.

***

Entry 3:
First-principles (PBE-GGA) data for a relaxed TiGaCo2Re crystal, as listed in the Alexandria database.

Geometry as POSCAR:
```
TiGaCo2Re
1.0
4.1106 0.0000 0.0000
0.0000 4.1106 0.0000
0.0000 0.0000 4.6836
Ti Ga Co Re
1 1 2 1
Cartesian
0.0000 0.0000 0.0000
0.0000 0.0000 2.3418
0.0000 2.0553 0.0000
2.0553 0.0000 0.0000
2.0553 2.0553 2.3418
```

## Properties
formation enthalpy at 0 K: 6.834 eV/f.u.

***

Entry 4:
First-principles (PBE-GGA) data for a relaxed Mn5PbI12 crystal, as listed in the Alexandria database.

Geometry as POSCAR:
```
Mn5PbI12
1.0
3.6761 -6.3726 0.0000
3.6761 6.3726 0.0000
-0.0471 0.0000 15.3076
Mn Pb I
5 1 12
Cartesian
0.0000 0.0000 0.0000
3.6526 4.2465 7.6538
3.6761 2.1246 0.0000
3.6761 -2.1246 0.0000
3.6526 -4.2465 7.6538
3.6526 0.0000 7.6538
2.4530 4.2482 1.6196
2.3071 2.3364 5.9125
0.9556 0.0000 9.3929
4.8522 4.2482 13.6880
2.4523 0.0000 1.6197
2.3071 -2.3364 5.9125
4.9981 2.3364 9.3950
4.8529 0.0000 13.6879
2.4530 -4.2482 1.6196
6.3495 0.0000 5.9147
4.9981 -2.3364 9.3950
4.8522 -4.2482 13.6880
```

## Properties
formation energy from raw total energies: -0.4585 eV/atom

***

Entry 5:
First-principles (PBE-GGA) data for a relaxed AcErAgHg crystal, as listed in the Alexandria database.

Geometry as POSCAR:
```
AcErAgHg
1.0
3.7873 0.0000 0.0000
0.0000 3.7873 0.0000
0.0000 0.0000 7.7755
Ac Er Ag Hg
1 1 1 1
Cartesian
0.0000 0.0000 0.0000
0.0000 0.0000 3.8041
1.8936 1.8936 2.2225
1.8936 1.8936 5.5197
```

## Properties
formation enthalpy at 0 K: -1.468 eV/f.u.
relative energy among the computed polymorphs: 0.0 meV/atom

***

Entry 6:
First-principles (PBE-GGA) data for a relaxed CaDyTmCd crystal, as listed in the Alexandria database.

Geometry as POSCAR:
```
CaDyTmCd
1.0
0.0000 3.8935 3.8935
3.8935 0.0000 3.8935
3.8935 3.8935 0.0000
Ca Dy Tm Cd
1 1 1 1
Cartesian
0.0000 0.0000 0.0000
3.8935 3.8935 3.8935
5.8402 5.8402 5.8402
1.9467 1.9467 1.9467
```

## Properties
formation enthalpy at 0 K: 0.049 eV/f.u.

***

Entry 7:
First-principles (PBE-GGA) data for a relaxed Mn2RuSe crystal, as listed in the Alexandria database.

Geometry as POSCAR:
```
Mn2RuSe
1.0
4.1660 -1.5186 0.0000
4.1660 1.5186 0.0000
-0.8283 0.0000 4.4750
Mn Ru Se
2 1 1
Cartesian
0.0000 0.0000 0.0000
1.4412 0.0000 3.3323
3.7603 0.0000 2.3300
6.0292 0.0000 0.9314
```

## Properties
formation energy from raw total energies: 0.1988 eV/atom

***

Entry 8:
First-principles (PBE-GGA) data for a relaxed Li3Er2PtO6 crystal, as listed in the Alexandria database.

Geometry as POSCAR:
```
Li3Er2PtO6
1.0
2.7840 -4.8533 0.0000
2.7840 4.8533 0.0000
-1.7067 0.0000 5.1084
Li Er Pt O
3 2 1 6
Cartesian
0.0000 0.0000 0.0000
2.7840 1.4424 0.0000
2.7840 -1.4424 0.0000
1.9306 3.1983 2.5542
1.9306 -3.1983 2.5542
1.9306 0.0000 2.5542
0.9715 1.6201 1.2687
0.1997 0.0000 3.7390
0.9715 -1.6201 1.2687
2.8898 1.6201 3.8398
3.6616 0.0000 1.3694
2.8898 -1.6201 3.8398
```

## Properties
formation energy from raw total energies: -2.1918 eV/atom

***

Number 1: total moment 1.49 μB per formula unit, V 76.5 Å³/cell, mass density 6.827 g cm⁻³. Number 2: total moment 3.67 μB per formula unit, V 462.6 Å³/cell, mass density 9.775 g cm⁻³. Number 3: total moment 2.66 μB per formula unit, V 79.1 Å³/cell, mass density 8.848 g cm⁻³. Number 4: total moment 25.00 μB per formula unit, V 717.2 Å³/cell, mass density 4.642 g cm⁻³. Number 5: total moment 0.00 μB per formula unit, V 111.5 Å³/cell, mass density 10.463 g cm⁻³. Number 6: total moment 0.00 μB per formula unit, V 118.0 Å³/cell, mass density 6.807 g cm⁻³. Number 7: total moment 5.58 μB per formula unit, V 56.6 Å³/cell, mass density 8.502 g cm⁻³. Number 8: total moment 1.03 μB per formula unit, V 138.0 Å³/cell, mass density 7.776 g cm⁻³.